# ScTcSbPt2, optimized geometry, DFT GGA-PBE
data_ScTcSbPt2
_space_group_name_H-M_alt 'P 1'
_space_group_IT_number 1
_space_group_name_Hall 'P 1'
_cell_length_a 4.920
_cell_length_b 4.920
_cell_length_c 5.181
_cell_angle_alpha 90.00
_cell_angle_beta 90.00
_cell_angle_gamma 90.00
loop_
_atom_site_label
_atom_site_type_symbol
_atom_site_fract_x
_atom_site_fract_y
_atom_site_fract_z
Sc1 Sc 0.000 0.000 0.000
Tc1 Tc 0.500 0.500 0.000
Sb1 Sb 0.000 0.000 0.500
Pt1 Pt 0.000 0.500 0.500
Pt2 Pt 0.500 0.000 0.500
# **DFT total energy**: -5.55 eV per atom
# **Spin magnetization**: 0.67 μB per atom
# **Symmetry**: P4/mmm, No. 123
# **Formation energy without anion corrections**: 1.03 eV per atom

# ScSb2TePt, optimized geometry, DFT GGA-PBE
data_ScSb2TePt
_space_group_name_H-M_alt 'P 1'
_space_group_IT_number 1
_space_group_name_Hall 'P 1'
_cell_length_a 5.198
_cell_length_b 5.198
_cell_length_c 5.435
_cell_angle_alpha 90.00
_cell_angle_beta 90.00
_cell_angle_gamma 90.00
loop_
_atom_site_label
_atom_site_type_symbol
_atom_site_fract_x
_atom_site_fract_y
_atom_site_fract_z
Sc1 Sc 0.000 0.000 0.000
Sb1 Sb 0.000 0.500 0.500
Sb2 Sb 0.500 0.000 0.500
Te1 Te 0.500 0.500 0.000
Pt1 Pt 0.500 0.500 0.500
# **Polymorph energy (0 for the lowest one)**: 0.00 eV/f.u.
# **DFT total energy**: -4.58 eV per atom
# **Spin magnetization**: 0.00 μB per atom
# **Symmetry**: P4/mmm, No. 123
# **Formation energy without anion corrections**: 0.17 eV per atom

# ScSb2TePt, optimized geometry, DFT GGA-PBE
data_ScSb2TePt
_space_group_name_H-M_alt 'P 1'
_space_group_IT_number 1
_space_group_name_Hall 'P 1'
_cell_length_a 5.384
_cell_length_b 5.384
_cell_length_c 5.297
_cell_angle_alpha 90.00
_cell_angle_beta 90.00
_cell_angle_gamma 90.00
loop_
_atom_site_label
_atom_site_type_symbol
_atom_site_fract_x
_atom_site_fract_y
_atom_site_fract_z
Sc1 Sc 0.000 0.000 0.000
Sb1 Sb 0.000 0.500 0.000
Sb2 Sb 0.500 0.000 0.000
Te1 Te 0.000 0.000 0.500
Pt1 Pt 0.500 0.500 0.500
# **Polymorph energy (0 for the lowest one)**: 2.09 eV/f.u.
# **DFT total energy**: -4.17 eV per atom
# **Spin magnetization**: 0.00 μB per atom
# **Symmetry**: P4/mmm, No. 123
# **Formation energy without anion corrections**: 0.59 eV per atom